Density functional theory data (PBE+U) for crystalline NaZn2CoO4 at its relaxed geometry.

Structure (POSCAR):
```
NaZn2CoO4
1.0
0.080 -5.463 -1.110
5.316 -1.089 -1.281
-2.041 2.619 4.479
Co Zn O Na
1 2 4 1
direct
0.000 0.000 0.000
0.750 0.250 0.500
0.250 0.750 0.500
0.082 0.082 0.430
0.348 0.918 0.000
0.652 0.652 0.570
0.918 0.348 0.000
0.500 0.500 0.000
```

Results
As for the density: 4.5 g/cm³. As for the total energy: -39.2 eV/cell. For the total magnetization, the calculation gives 3.99 μB/cell.